CaIO2F: relaxed, GGA-PBE.

Values from the calculation:
theoretical density	3.8	g/cm3
SG	P4/mmm, No. 123
formation energy without anion corrections	-1.0425	eV/atom

abc: 4.1448 4.1448 5.5171
angles: 90.00 90.00 90.00
With the nearest neighbours (Å) after each atom.
Fractional positions:
Ca: 0.0000 0.0000 0.0000  4 F 2.93
I: 0.5000 0.5000 0.5000  4 O 2.07
O: 0.0000 0.5000 0.5000  2 I 2.07
O: 0.5000 0.0000 0.5000  2 I 2.07
F: 0.5000 0.5000 0.0000  2 I 2.76, 4 Ca 2.93